Below is crystalline RbLa2P2 at its relaxed geometry, with properties calculated at the PBE level.

a b c (Å): 8.3198 8.3198 8.3198
angles (deg): 143.19 143.19 53.04
Sites, in units of the cell vectors:
Rb1 0.0000 0.0000 0.0000
La1 0.2500 0.7500 0.5000
La2 0.7500 0.2500 0.5000
P1 0.3363 0.3363 0.0000
P2 0.6637 0.6637 0.0000

Computed properties:
The value obtained for the density of states at the Fermi level is 3.047 states/eV/f.u. As for the space group: I4/mmm (139). The theoretical density is 3.4 g/cm3. The formation energy comes out at -0.778 eV per atom. As for the total energy: -25.530 eV/cell.